! TlTePtN2 PBE optimized geometry; values from VASP
! Formation energy (no corrections)   1953 meV/atom
! Electronic total energy   -0.2710 Ry per atom
! E above lowest polymorph   0.739 eV per atom
! SG   No. 123
&SYSTEM
  ibrav = 0, nat = 5, ntyp = 4
/
ATOMIC_SPECIES
Tl 204.38 Tl.upf
Te 127.60 Te.upf
Pt 195.08 Pt.upf
N 14.01 N.upf
CELL_PARAMETERS angstrom
-4.108 -0.516 0.072
0.520 -4.039 0.753
-0.038 1.222 6.577
ATOMIC_POSITIONS angstrom
Tl 0.000 0.000 0.000
Te -0.019 0.611 3.289
Pt -1.813 -1.666 3.701
N 0.260 -2.019 0.377
N -2.054 -0.258 0.036

=====

! Y2AlFe3 PBE optimized geometry; values from VASP
! Electronic total energy   -0.5273 Ry per atom
! ΔH_f (0 K)   -165 meV per atom
! SG   No. 166
&SYSTEM
  ibrav = 0, nat = 6, ntyp = 3
/
ATOMIC_SPECIES
Y 88.91 Y.upf
Al 26.98 Al.upf
Fe 55.84 Fe.upf
CELL_PARAMETERS angstrom
-4.180 -1.832 -2.534
1.758 -2.460 4.255
-4.746 0.377 2.179
ATOMIC_POSITIONS angstrom
Y -4.308 -2.500 3.537
Y -2.445 -4.270 1.743
Al -6.629 -1.966 1.602
Fe -2.165 -1.239 1.780
Fe -1.286 -2.469 3.907
Fe -4.255 -2.155 0.513

=====

! AlCo2Tc2 PBE optimized geometry; values from VASP
! Electronic total energy   -0.5462 Ry per atom
! ΔH_f (0 K)   306 meV per atom
! E above lowest polymorph   0.225 eV per atom
! SG   No. 139
&SYSTEM
  ibrav = 0, nat = 5, ntyp = 3
/
ATOMIC_SPECIES
Al 26.98 Al.upf
Co 58.93 Co.upf
Tc 98.00 Tc.upf
CELL_PARAMETERS angstrom
-1.754 1.754 5.769
1.754 -1.754 5.769
1.754 1.754 -5.769
ATOMIC_POSITIONS angstrom
Al 0.000 0.000 0.000
Co 1.754 0.000 2.885
Co 0.000 1.754 2.885
Tc 0.000 0.000 6.963
Tc 0.000 0.000 4.575

=====

! Na2Sr3Hg9 PBE optimized geometry; values from VASP
! Electronic total energy   -0.0819 Ry per atom
! ΔH_f (0 K)   -372 meV per atom
! SG   No. 71
&SYSTEM
  ibrav = 0, nat = 14, ntyp = 3
/
ATOMIC_SPECIES
Na 22.99 Na.upf
Sr 87.62 Sr.upf
Hg 200.59 Hg.upf
CELL_PARAMETERS angstrom
4.754 0.000 -0.973
-1.060 9.435 -5.180
-0.509 -0.979 9.612
ATOMIC_POSITIONS angstrom
Na 2.043 2.975 -2.120
Na 1.651 6.461 -4.034
Sr 0.000 0.000 0.000
Sr 0.762 2.130 3.724
Sr 2.422 6.326 -0.265
Hg -0.530 4.718 -2.590
Hg 0.247 8.593 1.205
Hg 2.938 -0.136 2.254
Hg 0.538 6.000 2.629
Hg 2.646 2.457 0.830
Hg -0.369 7.717 -1.804
Hg 3.554 0.739 5.263
Hg 0.067 3.837 0.327
Hg 3.118 4.620 3.132

=====

! K3Ag2O3 PBE optimized geometry; values from VASP
! Formation energy (no corrections)   -563 meV/atom
! Electronic total energy   -0.2607 Ry per atom
! SG   No. 63
&SYSTEM
  ibrav = 0, nat = 16, ntyp = 3
/
ATOMIC_SPECIES
K 39.10 K.upf
Ag 107.87 Ag.upf
O 16.00 O.upf
CELL_PARAMETERS angstrom
-2.534 -2.540 1.359
0.059 -0.522 -6.281
9.603 -9.125 0.850
ATOMIC_POSITIONS angstrom
K 1.406 -6.404 -3.933
K 8.398 -8.326 0.097
K -1.269 -3.862 -4.169
K 5.723 -5.784 -0.140
K 0.738 -4.140 -0.947
K 6.391 -8.048 -3.126
Ag 6.867 -10.591 -1.576
Ag 3.433 -4.610 -2.216
Ag 3.696 -7.578 -1.857
Ag 0.262 -1.597 -2.496
O 2.735 -5.843 -0.407
O 8.229 -9.988 -3.326
O -1.100 -2.199 -0.747
O 4.394 -6.344 -3.665
O 1.626 -3.431 -3.381
O 5.503 -8.757 -0.691

=====

! HoURu4 PBE optimized geometry; values from VASP
! Electronic total energy   -0.6617 Ry per atom
! ΔH_f (0 K)   -174 meV per atom
! SG   No. 216
&SYSTEM
  ibrav = 0, nat = 6, ntyp = 3
/
ATOMIC_SPECIES
Ru 101.07 Ru.upf
U 238.03 U.upf
Ho 164.93 Ho.upf
CELL_PARAMETERS angstrom
-0.666 -3.943 3.489
3.132 -0.320 4.273
-1.973 1.026 4.819
ATOMIC_POSITIONS angstrom
Ru 1.296 -2.537 5.453
Ru -1.259 -1.864 5.727
Ru 0.309 -2.023 7.864
Ru 0.642 -0.051 6.119
U 0.123 -0.809 3.145
Ho 0.000 0.000 0.000

=====

no.,size of the total moment (Bohr magnetons per cell)
1,3.4
2,4.1
3,0.0
4,0.0
5,1.6
6,1.7